(1)
DFT (PBE) results for a relaxed TcSnMo2N crystal.

- Uncorrected formation energy: -31 meV/atom
- Total magnetization: 0.76 Bohr magnetons per cell
- Calculated volume: 72.7 Å³ per cell
- Space-group type: No. 123
- Crystal system: tetragonal

Cell: 4.1752 4.1752 4.1715 Å, 90.00 90.00 90.00°
Last column: nearest neighbours and their distance in Å.
Sites, in units of the cell vectors:
Mo  0.0000  0.5000  0.0000  2 N 2.09
Mo  0.5000  0.0000  0.0000  2 N 2.09
N  0.0000  0.0000  0.0000  2 Tc 2.09, 4 Mo 2.09
Sn  0.5000  0.5000  0.5000  8 Mo 2.95, 4 Tc 2.95
Tc  0.0000  0.0000  0.5000  2 N 2.09



(2)
DFT (PBE) results for a relaxed Tm4CdPd3 crystal.

- Formation energy: -757 meV/atom
- Total magnetization: 0.00 Bohr magnetons per cell
- Calculated volume: 348.3 Å³ per cell
- Space-group type: No. 123
- Crystal system: tetragonal

Cell: 4.9694 7.0509 9.9391 Å, 90.00 90.00 90.00°
Last column: nearest neighbours and their distance in Å.
Sites, in units of the cell vectors:
Tm  0.5000  0.7604  0.0000  6 Pd 3.00-3.09, 2 Cd 3.09
Tm  0.5000  0.7604  0.5000  6 Pd 3.00-3.09, 2 Cd 3.09
Tm  0.5000  0.2396  0.0000  6 Pd 3.00-3.09, 2 Cd 3.09
Tm  0.5000  0.2396  0.5000  6 Pd 3.00-3.09, 2 Cd 3.09
Tm  0.0004  0.7603  0.7500  6 Pd 3.00-3.09, 2 Cd 3.09
Tm  0.9996  0.7603  0.2500  6 Pd 3.00-3.09, 2 Cd 3.09
Tm  0.9996  0.2397  0.2500  6 Pd 3.00-3.09, 2 Cd 3.09
Tm  0.0004  0.2397  0.7500  6 Pd 3.00-3.09, 2 Cd 3.09
Pd  0.0000  0.0000  0.0000  8 Tm 3.00
Pd  0.0000  0.0000  0.5000  8 Tm 3.00
Pd  0.5005  0.0000  0.7500  8 Tm 3.00-3.01
Pd  0.4995  0.0000  0.2500  8 Tm 3.00-3.01
Pd  0.5000  0.5000  0.7500  8 Tm 3.09
Pd  0.5000  0.5000  0.2500  8 Tm 3.09
Cd  0.0000  0.5000  0.0000  8 Tm 3.09
Cd  0.0000  0.5000  0.5000  8 Tm 3.09



(3)
DFT (PBE) results for a relaxed K3Ho2TiSe6 crystal.

- Uncorrected formation energy: -1538 meV/atom
- Total magnetization: 1.00 Bohr magnetons per cell
- Calculated volume: 333.3 Å³ per cell
- Space-group type: No. 12
- Crystal system: monoclinic

Cell: 7.0918 7.0918 8.0133 Å, 98.51 98.51 120.02°
Last column: nearest neighbours and their distance in Å.
Sites, in units of the cell vectors:
K  0.1705  0.8295  0.5000  6 Se 3.26-3.36
K  0.8295  0.1705  0.5000  6 Se 3.26-3.36
K  0.5000  0.5000  0.5000  6 Se 3.26-3.39
Ho  0.3337  0.6663  0.0000  6 Se 2.87
Ho  0.6663  0.3337  0.0000  6 Se 2.87
Ti  0.0000  0.0000  0.0000  6 Se 2.71
Se  0.9337  0.6180  0.8011  1 Ti 2.71, 2 Ho 2.87
Se  0.7516  0.7516  0.1998  1 Ti 2.71, 2 Ho 2.87
Se  0.0663  0.3820  0.1989  1 Ti 2.71, 2 Ho 2.87
Se  0.6180  0.9337  0.8011  1 Ti 2.71, 2 Ho 2.87
Se  0.2484  0.2484  0.8002  1 Ti 2.71, 2 Ho 2.87
Se  0.3820  0.0663  0.1989  1 Ti 2.71, 2 Ho 2.87



(4)
DFT (PBE) results for a relaxed CaInSi2 crystal.

- Uncorrected formation energy: 206 meV/atom
- Total magnetization: 0.00 Bohr magnetons per cell
- Calculated volume: 88.0 Å³ per cell
- Space-group type: No. 123
- Crystal system: tetragonal

Cell: 3.2824 3.2824 8.1688 Å, 90.00 90.00 90.03°
Last column: nearest neighbours and their distance in Å.
Sites, in units of the cell vectors:
Ca  0.5000  0.5000  0.2500  8 Si 3.13, 4 Ca 3.28
In  0.5000  0.5000  0.7500  8 Si 3.05-3.06, 4 In 3.28
Si  0.0000  0.0000  0.9932  4 In 3.05-3.06, 4 Ca 3.13, 4 Si 3.28
Si  0.0000  0.0000  0.5068  4 In 3.05-3.06, 4 Ca 3.13, 4 Si 3.28



(5)
DFT (PBE) results for a relaxed Pr3TlGe crystal.

- Formation energy: -442 meV/atom
- Total magnetization: 0.00 Bohr magnetons per cell
- Calculated volume: 300.8 Å³ per cell
- Space-group type: No. 2
- Crystal system: triclinic

Cell: 4.2786 7.3066 9.8954 Å, 92.52 86.95 103.06°
Last column: nearest neighbours and their distance in Å.
Sites, in units of the cell vectors:
Pr  0.0404  0.1763  0.3612  4 Ge 3.12-3.25, 2 Pr 3.25-3.49, 1 Tl 3.25
Pr  0.3863  0.9291  0.5836  1 Ge 3.05, 2 Tl 3.25-3.35, 1 Pr 3.33
Pr  0.6576  0.2250  0.8380  1 Ge 3.05, 2 Tl 3.25-3.35, 1 Pr 3.33
Pr  0.0035  0.9778  0.0604  4 Ge 3.12-3.25, 2 Pr 3.25-3.49, 1 Tl 3.25
Pr  0.2598  0.5569  0.0353  3 Ge 3.01-3.18, 1 Tl 3.36
Pr  0.7841  0.5972  0.3862  3 Ge 3.01-3.18, 1 Tl 3.36
Tl  0.2439  0.4284  0.6347  2 Tl 3.23-3.44, 4 Pr 3.25-3.36
Tl  0.8001  0.7256  0.7868  2 Tl 3.23-3.44, 4 Pr 3.25-3.36
Ge  0.4123  0.8580  0.2781  8 Pr 3.01-3.25
Ge  0.6318  0.2962  0.1435  8 Pr 3.01-3.25



(6)
DFT (PBE) results for a relaxed K2ZrTl crystal.

- Formation energy: 795 meV/atom
- Total magnetization: 4.11 Bohr magnetons per cell
- Calculated volume: 319.4 Å³ per cell
- Space-group type: No. 122
- Crystal system: tetragonal

Cell: 10.2478 10.2478 7.8586 Å, 49.31 49.31 90.00°
Last column: nearest neighbours and their distance in Å.
Sites, in units of the cell vectors:
Tl  0.0000  0.0000  0.0000  2 Zr 3.04, 4 K 3.40
Tl  0.7500  0.2500  0.5000  2 Zr 3.04, 4 K 3.40
K  0.6702  0.1250  0.2500  2 K 3.18, 2 Tl 3.40
K  0.0798  0.6250  0.2500  2 K 3.18, 2 Tl 3.40
K  0.3750  0.3298  0.7500  2 K 3.18, 2 Tl 3.40
K  0.8750  0.9202  0.7500  2 K 3.18, 2 Tl 3.40
Zr  0.5000  0.5000  0.0000  2 Tl 3.04
Zr  0.2500  0.7500  0.5000  2 Tl 3.04



(7)
DFT (PBE) results for a relaxed La6SbSe2I3 crystal.

- Uncorrected formation energy: -1396 meV/atom
- Total magnetization: 0.00 Bohr magnetons per cell
- Calculated volume: 393.0 Å³ per cell
- Space-group type: No. 12
- Crystal system: monoclinic

Cell: 7.7004 7.7004 8.0852 Å, 99.14 99.14 120.14°
Last column: nearest neighbours and their distance in Å.
Sites, in units of the cell vectors:
La  0.9268  0.5791  0.7855  2 Se 2.98-2.99, 1 Sb 3.15
La  0.7173  0.7173  0.2064  2 Se 2.98, 1 Sb 3.13, 1 I 3.31
La  0.0732  0.4209  0.2145  2 Se 2.98-2.99, 1 Sb 3.15
La  0.5791  0.9268  0.7855  2 Se 2.98-2.99, 1 Sb 3.15
La  0.2827  0.2827  0.7936  2 Se 2.98, 1 Sb 3.13, 1 I 3.31
La  0.4209  0.0732  0.2145  2 Se 2.98-2.99, 1 Sb 3.15
Sb  0.0000  0.0000  0.0000  6 La 3.13-3.15
Se  0.3308  0.6692  0.0000  6 La 2.98-2.99
Se  0.6692  0.3308  0.0000  6 La 2.98-2.99
I  0.1574  0.8426  0.5000  6 La 3.37-3.43
I  0.8426  0.1574  0.5000  6 La 3.37-3.43
I  0.5000  0.5000  0.5000  6 La 3.31-3.41



(8)
DFT (PBE) results for a relaxed TlPdRhO4 crystal.

- Uncorrected formation energy: -553 meV/atom
- Total magnetization: 0.00 Bohr magnetons per cell
- Calculated volume: 195.4 Å³ per cell
- Space-group type: No. 74
- Crystal system: orthorhombic

Cell: 5.9745 6.7834 6.2599 Å, 117.48 90.00 116.13°
Last column: nearest neighbours and their distance in Å.
Sites, in units of the cell vectors:
Tl  0.8469  0.6938  0.0969  4 O 2.28-2.40
Tl  0.1531  0.3062  0.9031  4 O 2.28-2.40
Pd  0.5000  0.5000  0.5000  4 O 2.08
Pd  0.0000  0.5000  0.5000  4 O 2.08
Rh  0.5000  0.0000  0.5000  6 O 2.04-2.05
Rh  0.5000  0.0000  0.0000  6 O 2.04-2.05
O  0.6952  0.3905  0.6564  1 Rh 2.05, 2 Pd 2.08
O  0.2752  0.9873  0.2437  2 Rh 2.04, 1 Tl 2.28
O  0.7122  0.9873  0.2437  2 Rh 2.04, 1 Tl 2.28
O  0.6952  0.3905  0.2340  1 Rh 2.05, 2 Pd 2.08
O  0.3048  0.6095  0.7660  1 Rh 2.05, 2 Pd 2.08
O  0.7248  0.0127  0.7563  2 Rh 2.04, 1 Tl 2.28
O  0.2878  0.0127  0.7563  2 Rh 2.04, 1 Tl 2.28
O  0.3048  0.6095  0.3436  1 Rh 2.05, 2 Pd 2.08



(9)
DFT (PBE) results for a relaxed Y3Pd5O12 crystal.

- Uncorrected formation energy: -1341 meV/atom
- Total magnetization: 23.71 Bohr magnetons per cell
- Calculated volume: 1062.0 Å³ per cell
- Space-group type: No. 230
- Crystal system: cubic

Cell: 11.1322 11.1322 11.1322 Å, 109.47 109.47 109.47°
Last column: nearest neighbours and their distance in Å.
Sites, in units of the cell vectors:
Y  0.7500  0.3750  0.1250  8 O 2.37-2.47
Y  0.8750  0.7500  0.1250  8 O 2.37-2.47
Y  0.3750  0.7500  0.6250  8 O 2.37-2.47
Y  0.2500  0.1250  0.3750  8 O 2.37-2.47
Y  0.8750  0.1250  0.2500  8 O 2.37-2.47
Y  0.3750  0.6250  0.2500  8 O 2.37-2.47
Y  0.6250  0.3750  0.7500  8 O 2.37-2.47
Y  0.1250  0.8750  0.7500  8 O 2.37-2.47
Y  0.7500  0.8750  0.6250  8 O 2.37-2.47
Y  0.6250  0.2500  0.3750  8 O 2.37-2.47
Y  0.1250  0.2500  0.8750  8 O 2.37-2.47
Y  0.2500  0.6250  0.8750  8 O 2.37-2.47
Pd  0.1250  0.3750  0.2500  4 O 2.06
Pd  0.0000  0.5000  0.0000  6 O 2.07
Pd  0.0000  0.0000  0.0000  6 O 2.07
Pd  0.3750  0.2500  0.1250  4 O 2.06
Pd  0.5000  0.0000  0.5000  6 O 2.07
Pd  0.5000  0.5000  0.0000  6 O 2.07
Pd  0.1250  0.7500  0.3750  4 O 2.06
Pd  0.7500  0.1250  0.8750  4 O 2.06
Pd  0.7500  0.6250  0.3750  4 O 2.06
Pd  0.3750  0.1250  0.7500  4 O 2.06
Pd  0.6250  0.8750  0.2500  4 O 2.06
Pd  0.5000  0.5000  0.5000  6 O 2.07
Pd  0.5000  0.0000  0.0000  6 O 2.07
Pd  0.0000  0.0000  0.5000  6 O 2.07
Pd  0.2500  0.3750  0.6250  4 O 2.06
Pd  0.2500  0.8750  0.1250  4 O 2.06
Pd  0.0000  0.5000  0.5000  6 O 2.07
Pd  0.8750  0.2500  0.6250  4 O 2.06
Pd  0.6250  0.7500  0.8750  4 O 2.06
Pd  0.8750  0.6250  0.7500  4 O 2.06
O  0.7091  0.1315  0.0434  2 Pd 2.06-2.07
O  0.3343  0.5434  0.4119  2 Pd 2.06-2.07
O  0.9566  0.3685  0.2909  2 Pd 2.06-2.07
O  0.5434  0.2091  0.1315  2 Pd 2.06-2.07
O  0.5776  0.7091  0.6657  2 Pd 2.06-2.07
O  0.9566  0.5881  0.1657  2 Pd 2.06-2.07
O  0.3343  0.7909  0.4224  2 Pd 2.06-2.07
O  0.0881  0.9224  0.1315  2 Pd 2.06-2.07
O  0.5881  0.9566  0.6657  2 Pd 2.06-2.07
O  0.7091  0.5776  0.1657  2 Pd 2.06-2.07
O  0.7909  0.4566  0.3685  2 Pd 2.06-2.07
O  0.8343  0.9119  0.0434  2 Pd 2.06-2.07
O  0.1315  0.7091  0.5434  2 Pd 2.06-2.07
O  0.3685  0.4119  0.0776  2 Pd 2.06-2.07
O  0.0776  0.9119  0.3685  2 Pd 2.06-2.07
O  0.4224  0.1315  0.5881  2 Pd 2.06-2.07
O  0.0776  0.1657  0.2091  2 Pd 2.06-2.07
O  0.4566  0.6657  0.0881  2 Pd 2.06-2.07
O  0.8343  0.9224  0.2909  2 Pd 2.06-2.07
O  0.1315  0.4224  0.0881  2 Pd 2.06-2.07
O  0.3685  0.9566  0.7909  2 Pd 2.06-2.07
O  0.5881  0.6315  0.4224  2 Pd 2.06-2.07
O  0.9119  0.8343  0.5434  2 Pd 2.06-2.07
O  0.7909  0.3343  0.9224  2 Pd 2.06-2.07
O  0.4119  0.3685  0.5776  2 Pd 2.06-2.07
O  0.0881  0.1657  0.4566  2 Pd 2.06-2.07
O  0.2091  0.6657  0.0776  2 Pd 2.06-2.07
O  0.1657  0.0776  0.7091  2 Pd 2.06-2.07
O  0.6315  0.0434  0.2091  2 Pd 2.06-2.07
O  0.8685  0.5776  0.9119  2 Pd 2.06-2.07
O  0.5434  0.3343  0.9119  2 Pd 2.06-2.07
O  0.5776  0.8685  0.4119  2 Pd 2.06-2.07
O  0.9224  0.8343  0.7909  2 Pd 2.06-2.07
O  0.9224  0.0881  0.6315  2 Pd 2.06-2.07
O  0.8685  0.2909  0.4566  2 Pd 2.06-2.07
O  0.1657  0.0881  0.9566  2 Pd 2.06-2.07
O  0.6315  0.5881  0.9224  2 Pd 2.06-2.07
O  0.4119  0.0434  0.3343  2 Pd 2.06-2.07
O  0.2909  0.4224  0.8343  2 Pd 2.06-2.07
O  0.2091  0.5434  0.6315  2 Pd 2.06-2.07
O  0.9119  0.0776  0.8685  2 Pd 2.06-2.07
O  0.6657  0.2091  0.5776  2 Pd 2.06-2.07
O  0.4566  0.7909  0.8685  2 Pd 2.06-2.07
O  0.0434  0.4119  0.8343  2 Pd 2.06-2.07
O  0.4224  0.2909  0.3343  2 Pd 2.06-2.07
O  0.0434  0.6315  0.7091  2 Pd 2.06-2.07
O  0.6657  0.4566  0.5881  2 Pd 2.06-2.07
O  0.2909  0.8685  0.9566  2 Pd 2.06-2.07



(10)
DFT (PBE) results for a relaxed HfBIO2 crystal.

- Uncorrected formation energy: -820 meV/atom
- Total magnetization: 0.00 Bohr magnetons per cell
- Calculated volume: 98.9 Å³ per cell
- Space-group type: No. 123
- Crystal system: tetragonal

Cell: 4.0217 4.0217 6.1125 Å, 90.00 90.00 90.00°
Last column: nearest neighbours and their distance in Å.
Sites, in units of the cell vectors:
I  0.0000  0.0000  0.5000  4 B 2.84, 2 Hf 3.06
B  0.5000  0.5000  0.5000  4 I 2.84
Hf  0.0000  0.0000  0.0000  4 O 2.01
O  0.0000  0.5000  0.0000  2 Hf 2.01
O  0.5000  0.0000  0.0000  2 Hf 2.01



(11)
DFT (PBE) results for a relaxed K2InBS4 crystal.

- Uncorrected formation energy: -757 meV/atom
- Total magnetization: 0.00 Bohr magnetons per cell
- Calculated volume: 460.2 Å³ per cell
- Space-group type: No. 70
- Crystal system: orthorhombic

Cell: 5.9221 7.2282 12.1502 Å, 84.27 75.89 65.82°
Last column: nearest neighbours and their distance in Å.
Sites, in units of the cell vectors:
K  0.1840  0.0000  0.6320  4 S 3.39-3.44
K  0.8160  0.0000  0.3680  4 S 3.39-3.44
K  0.5660  0.5000  0.8680  4 S 3.39-3.44
K  0.9340  0.5000  0.1320  4 S 3.39-3.44
In  0.7500  0.5000  0.5000  4 S 2.45
In  0.0000  0.0000  0.0000  4 S 2.45
B  0.2500  0.5000  0.5000  4 S 1.98
B  0.5000  0.0000  0.0000  4 S 1.98
S  0.3510  0.8225  0.0958  1 B 1.98
S  0.2694  0.1775  0.9042  1 B 1.98
S  0.8264  0.8225  0.9042  1 B 1.98
S  0.5532  0.1775  0.0958  1 B 1.98
S  0.3990  0.6775  0.4042  1 B 1.98
S  0.4806  0.3225  0.5958  1 B 1.98
S  0.9236  0.6775  0.5958  1 B 1.98
S  0.1968  0.3225  0.4042  1 B 1.98



(12)
DFT (PBE) results for a relaxed CuGeS2I crystal.

- Uncorrected formation energy: 538 meV/atom
- Total magnetization: 0.00 Bohr magnetons per cell
- Calculated volume: 134.4 Å³ per cell
- Space-group type: No. 123
- Crystal system: tetragonal

Cell: 4.5360 6.5325 4.5360 Å, 90.00 90.00 90.00°
Last column: nearest neighbours and their distance in Å.
Sites, in units of the cell vectors:
I  0.0000  0.5000  0.0000  4 Cu 3.21, 2 Ge 3.27
Ge  0.0000  0.0000  0.0000  4 S 2.27
S  0.0000  0.0000  0.5000  2 Ge 2.27
S  0.5000  0.0000  0.0000  2 Ge 2.27
Cu  0.5000  0.5000  0.5000  4 I 3.21